(1)
Material: SmCdCu
Method: DFT, GGA-PBE
State: optimized geometry

CIF file:
```
data_SmCdCu
_cell_length_a 3.458
_cell_length_b 4.724
_cell_length_c 4.724
_cell_angle_alpha 120.00
_cell_angle_beta 90.00
_cell_angle_gamma 90.00
_space_group_name_H-M_alt 'P 1'
_space_group_IT_number 1
_space_group_name_Hall 'P 1'
loop_
_atom_site_label
_atom_site_fract_x
_atom_site_fract_y
_atom_site_fract_z
Cu1 0.166 0.333 0.667
Sm1 0.667 0.667 0.333
Cd1 0.167 0.000 0.000
```

Its energy of formation is -0.2119 eV/atom. The density of states at the Fermi level comes out at 1.59 states/eV/cell. Its raw total energy is -3.455 eV per atom. The space group is P-6m2. As for the crystal system: hexagonal. The calculation puts the magnetization at 0.00 μB per atom.

(2)
Material: Sm2CdCu
Method: DFT, GGA-PBE
State: optimized geometry

CIF file:
```
data_Sm2CdCu
_cell_length_a 5.226
_cell_length_b 5.226
_cell_length_c 5.226
_cell_angle_alpha 60.00
_cell_angle_beta 60.00
_cell_angle_gamma 60.00
_space_group_name_H-M_alt 'P 1'
_space_group_IT_number 1
_space_group_name_Hall 'P 1'
loop_
_atom_site_label
_atom_site_fract_x
_atom_site_fract_y
_atom_site_fract_z
Cu1 0.000 0.000 0.000
Sm1 0.250 0.250 0.250
Sm2 0.750 0.750 0.750
Cd1 0.500 0.500 0.500
```

Its energy of formation is -0.1985 eV/atom. The density of states at the Fermi level comes out at 3.26 states/eV/cell. Its raw total energy is -3.811 eV per atom. Its energy above the lowest structure with this stoichiometry is 38.0 meV per atom. The space group is Fm-3m. As for the crystal system: cubic. The calculation puts the magnetization at 0.00 μB per atom.

(3)
Material: Sm2CdCu
Method: DFT, GGA-PBE
State: optimized geometry

CIF file:
```
data_Sm2CdCu
_cell_length_a 3.471
_cell_length_b 3.471
_cell_length_c 11.086
_cell_angle_alpha 80.99
_cell_angle_beta 80.99
_cell_angle_gamma 60.00
_space_group_name_H-M_alt 'P 1'
_space_group_IT_number 1
_space_group_name_Hall 'P 1'
loop_
_atom_site_label
_atom_site_fract_x
_atom_site_fract_y
_atom_site_fract_z
Cu1 0.500 0.500 0.500
Sm1 0.102 0.102 0.695
Sm2 0.898 0.898 0.305
Cd1 0.000 0.000 0.000
```

Its energy of formation is 0.2050 eV/atom. The density of states at the Fermi level comes out at 3.21 states/eV/cell. Its raw total energy is -3.407 eV per atom. Its energy above the lowest structure with this stoichiometry is 441.6 meV per atom. The space group is R-3m. As for the crystal system: trigonal. The calculation puts the magnetization at 0.00 μB per atom.

- What is the magnetization in the third record?
  0.00 μB per atom